[1]
Crystalline CaTb2PuO8 at its relaxed geometry, computed with GGA-PBE.

## Properties
As for the uncorrected formation energy: -2784 meV per atom. As for the crystal system: monoclinic. The calculation puts the calculated total energy at -8.22 eV/atom.

Structure (CIF):
```
data_CaTb2PuO8
_symmetry_space_group_name_H-M 'P 1'
_symmetry_Int_Tables_number 1
_symmetry_space_group_name_Hall 'P 1'
_cell_length_a 4.057
_cell_length_b 5.305
_cell_length_c 7.469
_cell_angle_alpha 90.00
_cell_angle_beta 90.00
_cell_angle_gamma 96.00
loop_
_atom_site_label
_atom_site_type_symbol
_atom_site_fract_x
_atom_site_fract_y
_atom_site_fract_z
O1 O 0.440 0.225 0.000
O2 O 0.042 0.760 0.789
Ca1 Ca 0.000 0.000 0.500
Pu1 Pu 0.000 0.000 0.000
O3 O 0.560 0.775 0.000
O4 O 0.495 0.260 0.500
Tb1 Tb 0.500 0.500 0.252
O5 O 0.505 0.740 0.500
O6 O 0.958 0.240 0.211
O7 O 0.958 0.240 0.789
Tb2 Tb 0.500 0.500 0.748
O8 O 0.042 0.760 0.211
```



[2]
Crystalline Ca2TbPuO6 at its relaxed geometry, computed with GGA-PBE.

## Properties
As for the uncorrected formation energy: -3087 meV per atom. As for the crystal system: trigonal. The calculation puts the calculated total energy at -8.36 eV/atom.

Structure (CIF):
```
data_Ca2TbPuO6
_symmetry_space_group_name_H-M 'P 1'
_symmetry_Int_Tables_number 1
_symmetry_space_group_name_Hall 'P 1'
_cell_length_a 5.851
_cell_length_b 5.851
_cell_length_c 6.059
_cell_angle_alpha 61.13
_cell_angle_beta 61.13
_cell_angle_gamma 60.00
loop_
_atom_site_label
_atom_site_type_symbol
_atom_site_fract_x
_atom_site_fract_y
_atom_site_fract_z
O1 O 0.191 0.959 0.259
Ca1 Ca 0.030 0.030 0.911
Ca2 Ca 0.535 0.535 0.396
O2 O 0.591 0.191 0.259
O3 O 0.111 0.438 0.773
O4 O 0.678 0.111 0.773
O5 O 0.438 0.678 0.773
Pu1 Pu 0.318 0.318 0.047
Tb1 Tb 0.812 0.812 0.565
O6 O 0.959 0.591 0.259
```



[3]
Crystalline CaPuTcO6 at its relaxed geometry, computed with GGA-PBE.

## Properties
As for the uncorrected formation energy: -2322 meV per atom. As for the crystal system: trigonal. The calculation puts the calculated total energy at -8.59 eV/atom.

Structure (CIF):
```
data_CaPuTcO6
_symmetry_space_group_name_H-M 'P 1'
_symmetry_Int_Tables_number 1
_symmetry_space_group_name_Hall 'P 1'
_cell_length_a 5.426
_cell_length_b 5.426
_cell_length_c 10.038
_cell_angle_alpha 90.00
_cell_angle_beta 90.00
_cell_angle_gamma 120.00
loop_
_atom_site_label
_atom_site_type_symbol
_atom_site_fract_x
_atom_site_fract_y
_atom_site_fract_z
O1 O 0.347 0.979 0.641
Tc1 Tc 0.667 0.333 0.250
O2 O 0.368 0.347 0.359
Pu1 Pu 0.333 0.667 0.250
O3 O 0.021 0.653 0.859
O4 O 0.653 0.021 0.359
Tc2 Tc 0.333 0.667 0.750
O5 O 0.347 0.368 0.859
O6 O 0.368 0.021 0.141
O7 O 0.632 0.979 0.859
O8 O 0.653 0.632 0.141
O9 O 0.021 0.368 0.641
Ca1 Ca 0.000 0.000 0.000
Ca2 Ca 0.000 0.000 0.500
O10 O 0.632 0.653 0.641
Pu2 Pu 0.667 0.333 0.750
O11 O 0.979 0.632 0.359
O12 O 0.979 0.347 0.141
```



[4]
Crystalline CaPuTc2O8 at its relaxed geometry, computed with GGA-PBE.

## Properties
As for the uncorrected formation energy: -2025 meV per atom. As for the crystal system: tetragonal. The calculation puts the calculated total energy at -8.42 eV/atom.

Structure (CIF):
```
data_CaPuTc2O8
_symmetry_space_group_name_H-M 'P 1'
_symmetry_Int_Tables_number 1
_symmetry_space_group_name_Hall 'P 1'
_cell_length_a 5.268
_cell_length_b 5.268
_cell_length_c 6.820
_cell_angle_alpha 112.72
_cell_angle_beta 112.72
_cell_angle_gamma 90.00
loop_
_atom_site_label
_atom_site_type_symbol
_atom_site_fract_x
_atom_site_fract_y
_atom_site_fract_z
O1 O 0.167 0.579 0.833
Tc1 Tc 0.250 0.750 0.500
O2 O 0.666 0.254 0.833
O3 O 0.421 0.334 0.167
Tc2 Tc 0.500 0.500 0.000
Pu1 Pu 0.000 0.000 0.000
Ca1 Ca 0.750 0.250 0.500
O4 O 0.587 0.683 0.673
O5 O 0.011 0.413 0.327
O6 O 0.746 0.833 0.167
O7 O 0.317 0.915 0.327
O8 O 0.085 0.989 0.673
```



[5]
Crystalline CaPuTeO2 at its relaxed geometry, computed with GGA-PBE.

## Properties
As for the uncorrected formation energy: -2469 meV per atom. As for the crystal system: tetragonal. The calculation puts the calculated total energy at -8.35 eV/atom.

Structure (CIF):
```
data_CaPuTeO2
_symmetry_space_group_name_H-M 'P 1'
_symmetry_Int_Tables_number 1
_symmetry_space_group_name_Hall 'P 1'
_cell_length_a 3.950
_cell_length_b 3.950
_cell_length_c 6.936
_cell_angle_alpha 106.54
_cell_angle_beta 106.54
_cell_angle_gamma 90.00
loop_
_atom_site_label
_atom_site_type_symbol
_atom_site_fract_x
_atom_site_fract_y
_atom_site_fract_z
Te1 Te 0.506 0.506 0.012
Ca1 Ca 0.841 0.841 0.683
O1 O 0.743 0.243 0.486
Pu1 Pu 0.166 0.166 0.333
O2 O 0.243 0.743 0.486
```



[6]
Crystalline CaPuTeO6 at its relaxed geometry, computed with GGA-PBE.

## Properties
As for the uncorrected formation energy: -2123 meV per atom. As for the crystal system: trigonal. The calculation puts the calculated total energy at -7.59 eV/atom.

Structure (CIF):
```
data_CaPuTeO6
_symmetry_space_group_name_H-M 'P 1'
_symmetry_Int_Tables_number 1
_symmetry_space_group_name_Hall 'P 1'
_cell_length_a 5.678
_cell_length_b 5.678
_cell_length_c 9.804
_cell_angle_alpha 90.00
_cell_angle_beta 90.00
_cell_angle_gamma 120.00
loop_
_atom_site_label
_atom_site_type_symbol
_atom_site_fract_x
_atom_site_fract_y
_atom_site_fract_z
O1 O 0.993 0.355 0.639
O2 O 0.645 0.638 0.639
O3 O 0.355 0.993 0.139
Ca1 Ca 0.000 0.000 0.000
O4 O 0.007 0.645 0.361
O5 O 0.645 0.007 0.861
Te1 Te 0.333 0.667 0.750
O6 O 0.638 0.645 0.139
O7 O 0.362 0.007 0.639
O8 O 0.638 0.993 0.361
O9 O 0.355 0.362 0.361
Pu1 Pu 0.667 0.333 0.750
O10 O 0.007 0.362 0.139
O11 O 0.993 0.638 0.861
Ca2 Ca 0.000 0.000 0.500
Pu2 Pu 0.333 0.667 0.250
Te2 Te 0.667 0.333 0.250
O12 O 0.362 0.355 0.861
```



[7]
Crystalline CaPuThO6 at its relaxed geometry, computed with GGA-PBE.

## Properties
As for the uncorrected formation energy: -3035 meV per atom. As for the crystal system: trigonal. The calculation puts the calculated total energy at -8.98 eV/atom.

Structure (CIF):
```
data_CaPuThO6
_symmetry_space_group_name_H-M 'P 1'
_symmetry_Int_Tables_number 1
_symmetry_space_group_name_Hall 'P 1'
_cell_length_a 5.745
_cell_length_b 5.745
_cell_length_c 9.770
_cell_angle_alpha 90.00
_cell_angle_beta 90.00
_cell_angle_gamma 120.00
loop_
_atom_site_label
_atom_site_type_symbol
_atom_site_fract_x
_atom_site_fract_y
_atom_site_fract_z
Ca1 Ca 0.667 0.333 0.750
Pu1 Pu 0.667 0.333 0.250
O1 O 0.322 0.963 0.633
Ca2 Ca 0.333 0.667 0.250
O2 O 0.963 0.322 0.133
Pu2 Pu 0.333 0.667 0.750
O3 O 0.678 0.642 0.133
O4 O 0.642 0.678 0.633
O5 O 0.358 0.037 0.133
O6 O 0.642 0.963 0.867
O7 O 0.037 0.358 0.633
Th1 Th 0.000 0.000 0.500
O8 O 0.358 0.322 0.367
Th2 Th 0.000 0.000 0.000
O9 O 0.963 0.642 0.367
O10 O 0.678 0.037 0.367
O11 O 0.037 0.678 0.867
O12 O 0.322 0.358 0.867
```



[8]
Crystalline CaPuTiO6 at its relaxed geometry, computed with GGA-PBE.

## Properties
As for the uncorrected formation energy: -2838 meV per atom. As for the crystal system: trigonal. The calculation puts the calculated total energy at -8.84 eV/atom.

Structure (CIF):
```
data_CaPuTiO6
_symmetry_space_group_name_H-M 'P 1'
_symmetry_Int_Tables_number 1
_symmetry_space_group_name_Hall 'P 1'
_cell_length_a 5.402
_cell_length_b 5.402
_cell_length_c 9.929
_cell_angle_alpha 90.00
_cell_angle_beta 90.00
_cell_angle_gamma 120.00
loop_
_atom_site_label
_atom_site_type_symbol
_atom_site_fract_x
_atom_site_fract_y
_atom_site_fract_z
O1 O 0.641 0.630 0.143
Pu1 Pu 0.333 0.667 0.250
O2 O 0.630 0.641 0.643
Ti1 Ti 0.667 0.333 0.250
O3 O 0.630 0.989 0.857
O4 O 0.359 0.989 0.643
O5 O 0.370 0.011 0.143
Ti2 Ti 0.333 0.667 0.750
O6 O 0.989 0.630 0.357
O7 O 0.989 0.359 0.143
Pu2 Pu 0.667 0.333 0.750
O8 O 0.359 0.370 0.857
Ca1 Ca 0.000 0.000 0.000
O9 O 0.641 0.011 0.357
O10 O 0.370 0.359 0.357
Ca2 Ca 0.000 0.000 0.500
O11 O 0.011 0.641 0.857
O12 O 0.011 0.370 0.643
```



[9]
Crystalline Ca2PuTlO6 at its relaxed geometry, computed with GGA-PBE.

## Properties
As for the uncorrected formation energy: -2410 meV per atom. As for the crystal system: trigonal. The calculation puts the calculated total energy at -7.46 eV/atom.

Structure (CIF):
```
data_Ca2PuTlO6
_symmetry_space_group_name_H-M 'P 1'
_symmetry_Int_Tables_number 1
_symmetry_space_group_name_Hall 'P 1'
_cell_length_a 5.951
_cell_length_b 5.951
_cell_length_c 6.418
_cell_angle_alpha 62.38
_cell_angle_beta 62.38
_cell_angle_gamma 60.00
loop_
_atom_site_label
_atom_site_type_symbol
_atom_site_fract_x
_atom_site_fract_y
_atom_site_fract_z
O1 O 0.163 0.363 0.785
Pu1 Pu 0.327 0.327 0.019
Ca1 Ca 0.529 0.529 0.412
Tl1 Tl 0.794 0.794 0.618
Ca2 Ca 0.006 0.006 0.983
O2 O 0.363 0.689 0.785
O3 O 0.271 0.966 0.210
O4 O 0.689 0.163 0.785
O5 O 0.966 0.554 0.210
O6 O 0.554 0.271 0.210
```